No. 1
## Sr2Ni (PBE)

Data for Sr2Ni after structural relaxation.

Unit cell a=5.4415 b=5.4415 c=3.4367 alpha=90.00 beta=90.00 gamma=120.00
Last column: nearest neighbours and their distance in Å.
Positions (direct):
Sr  0.3333  0.6667  0.0000  5 Sr 3.14-3.44
Sr  0.6667  0.3333  0.0000  5 Sr 3.14-3.44
Ni  0.0000  0.0000  0.5000  2 Ni 3.44, 12 Sr 3.58

Calculated values
**Formation energy from the elements**: 664 meV/atom


No. 2
## Li7Zn2Pd2 (PBE)

Data for Li7Zn2Pd2 after structural relaxation.

Unit cell a=6.3133 b=6.3133 c=4.6891 alpha=104.68 beta=104.68 gamma=81.63
Last column: nearest neighbours and their distance in Å.
Positions (direct):
Li  0.0000  0.0000  0.0000  4 Li 2.55, 4 Zn 2.81
Li  0.0377  0.4091  0.2282  4 Li 2.55-2.82, 2 Pd 2.64-2.74, 2 Zn 2.73-2.83
Li  0.4091  0.0377  0.2282  4 Li 2.55-2.82, 2 Pd 2.64-2.74, 2 Zn 2.73-2.83
Li  0.4706  0.4706  0.2248  2 Li 2.36-2.45
Li  0.5294  0.5294  0.7752  2 Li 2.36-2.45
Li  0.5909  0.9623  0.7718  4 Li 2.55-2.82, 2 Pd 2.64-2.74, 2 Zn 2.73-2.83
Li  0.9623  0.5909  0.7718  4 Li 2.55-2.82, 2 Pd 2.64-2.74, 2 Zn 2.73-2.83
Zn  0.1886  0.8114  0.5000  2 Pd 2.57, 8 Li 2.73-2.85
Zn  0.8114  0.1886  0.5000  2 Pd 2.57, 8 Li 2.73-2.85
Pd  0.2252  0.2252  0.7141  2 Zn 2.57, 8 Li 2.64-2.86
Pd  0.7748  0.7748  0.2859  2 Zn 2.57, 8 Li 2.64-2.86

Calculated values
**Formation energy from the elements**: -223 meV/atom


No. 3
## Rb5Eu3Br12 (PBE)

Data for Rb5Eu3Br12 after structural relaxation.

Unit cell a=17.6074 b=17.6074 c=17.6074 alpha=109.47 beta=109.47 gamma=109.47
Last column: nearest neighbours and their distance in Å.
Positions (direct):
Rb  0.0000  0.0000  0.0000  6 Br 3.36
Rb  0.0000  0.0000  0.5000  6 Br 3.36
Rb  0.0000  0.5000  0.0000  6 Br 3.36
Rb  0.0000  0.5000  0.5000  6 Br 3.36
Rb  0.1250  0.7500  0.8750  4 Br 3.62
Rb  0.1250  0.8750  0.2500  4 Br 3.62
Rb  0.2500  0.1250  0.8750  4 Br 3.62
Rb  0.2500  0.6250  0.3750  4 Br 3.62
Rb  0.3750  0.2500  0.6250  4 Br 3.62
Rb  0.3750  0.6250  0.7500  4 Br 3.62
Rb  0.5000  0.0000  0.0000  6 Br 3.36
Rb  0.5000  0.0000  0.5000  6 Br 3.36
Rb  0.5000  0.5000  0.0000  6 Br 3.36
Rb  0.5000  0.5000  0.5000  6 Br 3.36
Rb  0.6250  0.3750  0.2500  4 Br 3.62
Rb  0.6250  0.7500  0.3750  4 Br 3.62
Rb  0.7500  0.3750  0.6250  4 Br 3.62
Rb  0.7500  0.8750  0.1250  4 Br 3.62
Rb  0.8750  0.1250  0.7500  4 Br 3.62
Rb  0.8750  0.2500  0.1250  4 Br 3.62
Eu  0.1250  0.2500  0.3750  4 Br 2.85
Eu  0.1250  0.3750  0.7500  4 Br 2.85
Eu  0.2500  0.3750  0.1250  4 Br 2.85
Eu  0.2500  0.8750  0.6250  4 Br 2.85
Eu  0.3750  0.1250  0.2500  4 Br 2.85
Eu  0.3750  0.7500  0.1250  4 Br 2.85
Eu  0.6250  0.2500  0.8750  4 Br 2.85
Eu  0.6250  0.8750  0.7500  4 Br 2.85
Eu  0.7500  0.1250  0.3750  4 Br 2.85
Eu  0.7500  0.6250  0.8750  4 Br 2.85
Eu  0.8750  0.6250  0.2500  4 Br 2.85
Eu  0.8750  0.7500  0.6250  4 Br 2.85
Br  0.0112  0.6351  0.1947  1 Eu 2.85
Br  0.0112  0.8760  0.8164  1 Eu 2.85
Br  0.0596  0.1836  0.6947  1 Eu 2.85
Br  0.0596  0.3760  0.3649  1 Eu 2.85
Br  0.1240  0.1836  0.9888  1 Eu 2.85
Br  0.1240  0.4404  0.1351  1 Eu 2.85
Br  0.1351  0.1240  0.4404  1 Eu 2.85
Br  0.1351  0.5112  0.6947  1 Eu 2.85
Br  0.1836  0.6947  0.0596  1 Eu 2.85
Br  0.1836  0.9888  0.1240  1 Eu 2.85
Br  0.1947  0.0112  0.6351  1 Eu 2.85
Br  0.1947  0.6836  0.5596  1 Eu 2.85
Br  0.3053  0.8649  0.4888  1 Eu 2.85
Br  0.3053  0.9404  0.8164  1 Eu 2.85
Br  0.3164  0.3760  0.5112  1 Eu 2.85
Br  0.3164  0.4404  0.8053  1 Eu 2.85
Br  0.3649  0.0596  0.3760  1 Eu 2.85
Br  0.3649  0.8053  0.9888  1 Eu 2.85
Br  0.3760  0.3649  0.0596  1 Eu 2.85
Br  0.3760  0.5112  0.3164  1 Eu 2.85
Br  0.4404  0.1351  0.1240  1 Eu 2.85
Br  0.4404  0.8053  0.3164  1 Eu 2.85
Br  0.4888  0.3053  0.8649  1 Eu 2.85
Br  0.4888  0.6836  0.6240  1 Eu 2.85
Br  0.5112  0.3164  0.3760  1 Eu 2.85
Br  0.5112  0.6947  0.1351  1 Eu 2.85
Br  0.5596  0.1947  0.6836  1 Eu 2.85
Br  0.5596  0.8649  0.8760  1 Eu 2.85
Br  0.6240  0.4888  0.6836  1 Eu 2.85
Br  0.6240  0.6351  0.9404  1 Eu 2.85
Br  0.6351  0.1947  0.0112  1 Eu 2.85
Br  0.6351  0.9404  0.6240  1 Eu 2.85
Br  0.6836  0.5596  0.1947  1 Eu 2.85
Br  0.6836  0.6240  0.4888  1 Eu 2.85
Br  0.6947  0.0596  0.1836  1 Eu 2.85
Br  0.6947  0.1351  0.5112  1 Eu 2.85
Br  0.8053  0.3164  0.4404  1 Eu 2.85
Br  0.8053  0.9888  0.3649  1 Eu 2.85
Br  0.8164  0.0112  0.8760  1 Eu 2.85
Br  0.8164  0.3053  0.9404  1 Eu 2.85
Br  0.8649  0.4888  0.3053  1 Eu 2.85
Br  0.8649  0.8760  0.5596  1 Eu 2.85
Br  0.8760  0.5596  0.8649  1 Eu 2.85
Br  0.8760  0.8164  0.0112  1 Eu 2.85
Br  0.9404  0.6240  0.6351  1 Eu 2.85
Br  0.9404  0.8164  0.3053  1 Eu 2.85
Br  0.9888  0.1240  0.1836  1 Eu 2.85
Br  0.9888  0.3649  0.8053  1 Eu 2.85

Calculated values
**ΔE_f (raw)**: -1.715 eV per atom


No. 4
## CuRe2TeOs (PBE)

Data for CuRe2TeOs after structural relaxation.

Unit cell a=4.7643 b=4.7643 c=5.2599 alpha=90.00 beta=90.00 gamma=90.00
Last column: nearest neighbours and their distance in Å.
Positions (direct):
Cu  0.0000  0.0000  0.0000  4 Te 3.37, 8 Re 3.55
Re  0.0000  0.5000  0.5000  2 Os 2.38
Re  0.5000  0.0000  0.5000  2 Os 2.38
Te  0.5000  0.5000  0.0000  2 Os 2.63
Os  0.5000  0.5000  0.5000  4 Re 2.38, 2 Te 2.63

Calculated values
**ΔE_f (raw)**: 2.148 eV per atom


No. 5
## Nd12Tm2Sc5 (PBE)

Data for Nd12Tm2Sc5 after structural relaxation.

Unit cell a=9.0211 b=9.0211 c=8.5405 alpha=90.64 beta=90.64 gamma=61.84
Last column: nearest neighbours and their distance in Å.
Positions (direct):
Nd  0.0684  0.0684  0.3375  2 Sc 3.25-3.36, 7 Nd 3.37-3.52, 2 Tm 3.44
Nd  0.0695  0.6782  0.3327  4 Sc 3.34-3.71, 5 Nd 3.40-3.63, 1 Tm 3.48
Nd  0.1609  0.5262  0.7681  4 Nd 3.37-3.60, 1 Tm 3.40, 4 Sc 3.50-3.76
Nd  0.3218  0.9305  0.6673  4 Sc 3.34-3.71, 5 Nd 3.40-3.63, 1 Tm 3.48
Nd  0.4102  0.4102  0.1214  5 Nd 3.40-3.60, 3 Sc 3.40-3.50, 2 Tm 3.52
Nd  0.4738  0.8391  0.2319  4 Nd 3.37-3.60, 1 Tm 3.40, 4 Sc 3.50-3.76
Nd  0.5262  0.1609  0.7681  4 Nd 3.37-3.60, 1 Tm 3.40, 4 Sc 3.50-3.76
Nd  0.5898  0.5898  0.8786  5 Nd 3.40-3.60, 3 Sc 3.40-3.50, 2 Tm 3.52
Nd  0.6782  0.0695  0.3327  4 Sc 3.34-3.71, 5 Nd 3.40-3.63, 1 Tm 3.48
Nd  0.8391  0.4738  0.2319  4 Nd 3.37-3.60, 1 Tm 3.40, 4 Sc 3.50-3.76
Nd  0.9305  0.3218  0.6673  4 Sc 3.34-3.71, 5 Nd 3.40-3.63, 1 Tm 3.48
Nd  0.9316  0.9316  0.6625  2 Sc 3.25-3.36, 7 Nd 3.37-3.52, 2 Tm 3.44
Tm  0.1701  0.8299  0.0000  1 Tm 3.15, 8 Nd 3.40-3.52, 2 Sc 3.43
Tm  0.8299  0.1701  0.0000  1 Tm 3.15, 8 Nd 3.40-3.52, 2 Sc 3.43
Sc  0.1964  0.1964  0.0226  8 Nd 3.36-3.69, 2 Tm 3.43, 1 Sc 3.67
Sc  0.2724  0.2724  0.4320  8 Nd 3.25-3.55, 1 Sc 3.56
Sc  0.5000  0.5000  0.5000  10 Nd 3.50-3.76, 2 Sc 3.56
Sc  0.7276  0.7276  0.5680  8 Nd 3.25-3.55, 1 Sc 3.56
Sc  0.8036  0.8036  0.9774  8 Nd 3.36-3.69, 2 Tm 3.43, 1 Sc 3.67

Calculated values
**Formation energy from the elements**: 151 meV/atom


No. 6
## ScCoRu2 (PBE)

Data for ScCoRu2 after structural relaxation.

Unit cell a=5.1276 b=5.1276 c=4.5369 alpha=114.88 beta=114.88 gamma=32.63
Last column: nearest neighbours and their distance in Å.
Positions (direct):
Sc  0.0000  0.0000  0.0000  7 Ru 2.61-2.85, 3 Co 2.72, 2 Sc 2.88
Co  0.2461  0.2461  0.8751  7 Ru 2.61-2.89, 3 Sc 2.72, 2 Co 2.88
Ru  0.5149  0.5149  0.4937  3 Co 2.61-2.89, 4 Sc 2.61-2.77, 5 Ru 2.66-2.88
Ru  0.7697  0.7697  0.3849  4 Co 2.65-2.74, 5 Ru 2.66-2.88, 3 Sc 2.72-2.85

Calculated values
**Formation energy from the elements**: -64 meV/atom